Record 1
Crystalline Os3S4 at its relaxed geometry. Source: the Open Quantum Materials Database, functional PBE.

E above lowest polymorph (meV/atom): 0.0

a b c (Å): 11.404 3.588 5.899
angles (deg): 90.00 116.73 90.00
Space group C2/m (No. 12)
One atom of each set of equivalent atoms:
Os 0.000 0.000 0.000 x2
Os 0.226 0.500 0.688 x4
S 0.104 0.000 0.453 x4
S 0.138 0.500 0.983 x4



Record 2
Crystalline Hf4SiB3 at its relaxed geometry. Source: the Open Quantum Materials Database, functional PBE.

a b c (Å): 3.3968 3.3968 24.7061
angles (deg): 90.00 90.00 120.00
Space group P6_3/mmc (No. 194)
One atom of each set of equivalent atoms:
Hf 0.0000 0.0000 0.1674 x4
Hf 0.3333 0.6667 0.0579 x4
Si 0.3333 0.6667 0.2500 x2
B 0.0000 0.0000 0.0000 x2
B 0.3333 0.6667 0.6155 x4



Record 3
Crystalline SmDy2Ge4Pd4 at its relaxed geometry. Source: the Open Quantum Materials Database, functional PBE.

a b c (Å): 4.186 7.155 14.058
angles (deg): 90.00 90.00 90.00
Space group Immm (No. 71)
One atom of each set of equivalent atoms:
Sm 0.000 0.000 0.000 x2
Dy 0.000 0.500 0.126 x4
Ge 0.000 0.000 0.219 x4
Ge 0.000 0.185 0.500 x4
Pd 0.000 0.298 0.324 x8



Record 4
Crystalline Tl2W4CN at its relaxed geometry. Source: the Open Quantum Materials Database, functional PBE.

a b c (Å): 3.2350 3.2350 13.6569
angles (deg): 90.00 90.00 120.00
Space group P-3m1 (No. 164)
One atom of each set of equivalent atoms:
Tl 0.3333 0.6667 0.2478 x2
W 0.3333 0.6667 0.5784 x2
W 0.3333 0.6667 0.9269 x2
C 0.0000 0.0000 0.5000 x1
N 0.0000 0.0000 0.0000 x1



Record 5
Crystalline ErAgSnSe2S at its relaxed geometry. Source: the Open Quantum Materials Database, functional PBE.

a b c (Å): 4.073 13.553 10.257
angles (deg): 90.00 90.00 90.00
Space group Cmcm (No. 63)
One atom of each set of equivalent atoms:
Er 0.000 0.000 0.000 x4
Ag 0.000 0.469 0.250 x4
Sn 0.000 0.261 0.750 x4
Se 0.000 0.354 0.049 x8
S 0.000 0.086 0.250 x4



Record 6
Crystalline LiTbHgPb at its relaxed geometry. Source: the Open Quantum Materials Database, functional PBE.

a b c (Å): 7.316 7.316 7.316
angles (deg): 90.00 90.00 90.00
Space group F-43m (No. 216)
One atom of each set of equivalent atoms:
Li 0.000 0.000 0.000 x4
Tb 0.000 0.000 0.500 x4
Hg 0.250 0.250 0.750 x4
Pb 0.250 0.250 0.250 x4



Record 7
Crystalline Gd2GaSnPt4 at its relaxed geometry. Source: the Open Quantum Materials Database, functional PBE.

a b c (Å): 4.4938 4.4938 9.1753
angles (deg): 90.00 90.00 120.00
Space group P-3m1 (No. 164)
One atom of each set of equivalent atoms:
Gd 0.3333 0.6667 0.2555 x2
Ga 0.0000 0.0000 0.5000 x1
Sn 0.0000 0.0000 0.0000 x1
Pt 0.3333 0.6667 0.5819 x2
Pt 0.3333 0.6667 0.9078 x2



Record 8
Crystalline Mg3Fe2Se at its relaxed geometry. Source: the Open Quantum Materials Database, functional PBE.

a b c (Å): 5.486 9.527 4.318
angles (deg): 90.00 90.00 90.00
Space group Cmmm (No. 65)
One atom of each set of equivalent atoms:
Mg 0.000 0.000 0.000 x2
Mg 0.250 0.250 0.000 x4
Fe 0.000 0.166 0.500 x4
Se 0.000 0.500 0.500 x2



Number 1: total DFT energy (no corrections) -7.13 eV per atom. Number 2: total DFT energy (no corrections) -8.64 eV per atom. Number 3: total DFT energy (no corrections) -5.75 eV per atom. Number 4: total DFT energy (no corrections) -8.78 eV per atom. Number 5: total DFT energy (no corrections) -4.66 eV per atom. Number 6: total DFT energy (no corrections) -3.09 eV per atom. Number 7: total DFT energy (no corrections) -6.08 eV per atom. Number 8: total DFT energy (no corrections) -3.65 eV per atom.